A relaxed LiPbO2 crystal. Source: Alexandria via LeMat-Bulk, functional PBE.

CIF file:
```
data_LiPbO2
_cell_length_a 4.890
_cell_length_b 4.890
_cell_length_c 10.183
_cell_angle_alpha 90.00
_cell_angle_beta 90.00
_cell_angle_gamma 90.00
_space_group_name_H-M_alt 'I -4 2 d'
_space_group_IT_number 122
_space_group_name_Hall 'I -4 2bw'
loop_
_atom_site_label
_atom_site_fract_x
_atom_site_fract_y
_atom_site_fract_z
Li1 0.000 0.000 0.000
Pb1 0.000 0.000 0.500
O1 0.221 0.250 0.125
```

Calculated values
Crystal system: tetragonal
Total energy: -0.1890 Ha/atom
D(E_F): 1.2 states/eV/f.u.

A relaxed LiPbO2 crystal. Source: Alexandria via LeMat-Bulk, functional PBE.

CIF file:
```
data_LiPbO2
_cell_length_a 3.3432
_cell_length_b 3.3432
_cell_length_c 16.5909
_cell_angle_alpha 90.00
_cell_angle_beta 90.00
_cell_angle_gamma 120.00
_space_group_name_H-M_alt 'R 3 m'
_space_group_IT_number 160
_space_group_name_Hall 'R 3 -2"'
loop_
_atom_site_label
_atom_site_fract_x
_atom_site_fract_y
_atom_site_fract_z
Li1 0.0000 0.0000 0.0000
Pb1 0.0000 0.0000 0.8257
O1 0.0000 0.0000 0.4053
O2 0.0000 0.0000 0.5768
```

Calculated values
Crystal system: trigonal
Total energy: -0.1817 Ha/atom
D(E_F): 2.7 states/eV/f.u.

A relaxed Li8PbO6 crystal. Source: Alexandria via LeMat-Bulk, functional PBE.

CIF file:
```
data_Li8PbO6
_cell_length_a 5.6107
_cell_length_b 5.6107
_cell_length_c 15.8709
_cell_angle_alpha 90.00
_cell_angle_beta 90.00
_cell_angle_gamma 120.00
_space_group_name_H-M_alt 'R -3'
_space_group_IT_number 148
_space_group_name_Hall '-R 3'
loop_
_atom_site_label
_atom_site_fract_x
_atom_site_fract_y
_atom_site_fract_z
Li1 0.0000 0.0000 0.1515
Li2 0.0171 0.7038 0.7122
Pb1 0.0000 0.0000 0.5000
O1 0.0085 0.6523 0.2507
```

Calculated values
Crystal system: trigonal
Total energy: -0.1817 Ha/atom
D(E_F): 0.0 states/eV/f.u.

A relaxed LiPbO2 crystal. Source: Alexandria via LeMat-Bulk, functional PBE.

CIF file:
```
data_LiPbO2
_cell_length_a 6.125
_cell_length_b 6.386
_cell_length_c 6.705
_cell_angle_alpha 88.92
_cell_angle_beta 63.91
_cell_angle_gamma 86.24
_space_group_name_H-M_alt 'P -1'
_space_group_IT_number 2
loop_
_space_group_symop_operation_xyz
'x,y,z'
'-x,-y,-z'
loop_
_atom_site_label
_atom_site_fract_x
_atom_site_fract_y
_atom_site_fract_z
Li1 0.166 0.180 0.138
Li2 0.294 0.671 0.392
Pb1 0.217 0.136 0.576
Pb2 0.266 0.633 0.956
O1 0.167 0.327 0.878
O2 0.201 0.874 0.210
O3 0.228 0.786 0.679
O4 0.331 0.418 0.215
```

Calculated values
Crystal system: triclinic
Total energy: -0.1910 Ha/atom

A relaxed Li4Pb2O crystal. Source: Alexandria via LeMat-Bulk, functional PBE.

CIF file:
```
data_Li4Pb2O
_cell_length_a 3.988
_cell_length_b 3.988
_cell_length_c 15.772
_cell_angle_alpha 90.00
_cell_angle_beta 90.00
_cell_angle_gamma 90.00
_space_group_name_H-M_alt 'I 4/m m m'
_space_group_IT_number 139
_space_group_name_Hall '-I 4 2'
loop_
_atom_site_label
_atom_site_fract_x
_atom_site_fract_y
_atom_site_fract_z
Li1 0.000 0.000 0.119
Li2 0.000 0.500 0.000
Pb1 0.000 0.000 0.306
O1 0.000 0.000 0.000
```

Calculated values
Crystal system: tetragonal
Total energy: -0.1362 Ha/atom
D(E_F): 1.7 states/eV/f.u.

A relaxed LiPbO crystal. Source: Alexandria via LeMat-Bulk, functional PBE.

CIF file:
```
data_LiPbO
_cell_length_a 11.151
_cell_length_b 3.613
_cell_length_c 5.927
_cell_angle_alpha 90.00
_cell_angle_beta 117.26
_cell_angle_gamma 90.00
_space_group_name_H-M_alt 'C 1 2/m 1'
_space_group_IT_number 12
loop_
_space_group_symop_operation_xyz
'x,y,z'
'-x,-y,-z'
'-x,y,-z'
'x,-y,z'
'x+1/2,y+1/2,z'
'-x+1/2,-y+1/2,-z'
'-x+1/2,y+1/2,-z'
'x+1/2,-y+1/2,z'
loop_
_atom_site_label
_atom_site_fract_x
_atom_site_fract_y
_atom_site_fract_z
Li1 0.171 0.000 0.432
Pb1 0.098 0.500 0.839
O1 0.133 0.500 0.485
```

Calculated values
Crystal system: monoclinic
Total energy: -0.1728 Ha/atom
D(E_F): 0.7 states/eV/f.u.

A relaxed Li2PbO2 crystal. Source: Alexandria via LeMat-Bulk, functional PBE.

CIF file:
```
data_Li2PbO2
_cell_length_a 4.688
_cell_length_b 4.689
_cell_length_c 5.761
_cell_angle_alpha 90.00
_cell_angle_beta 113.84
_cell_angle_gamma 90.00
_space_group_name_H-M_alt 'C 1 2/m 1'
_space_group_IT_number 12
loop_
_space_group_symop_operation_xyz
'x,y,z'
'-x,-y,-z'
'-x,y,-z'
'x,-y,z'
'x+1/2,y+1/2,z'
'-x+1/2,-y+1/2,-z'
'-x+1/2,y+1/2,-z'
'x+1/2,-y+1/2,z'
loop_
_atom_site_label
_atom_site_fract_x
_atom_site_fract_y
_atom_site_fract_z
Li1 0.000 0.250 0.000
Pb1 0.000 0.000 0.500
O1 0.149 0.500 0.796
```

Calculated values
Energy above the lowest structure with this stoichiometry: 0.0576 eV per atom
Crystal system: monoclinic
Total energy: -0.1790 Ha/atom
D(E_F): 0.0 states/eV/f.u.

A relaxed LiPbO2 crystal. Source: Alexandria via LeMat-Bulk, functional PBE.

CIF file:
```
data_LiPbO2
_cell_length_a 3.3059
_cell_length_b 3.3059
_cell_length_c 17.9811
_cell_angle_alpha 90.00
_cell_angle_beta 90.00
_cell_angle_gamma 120.00
_space_group_name_H-M_alt 'R -3 m'
_space_group_IT_number 166
_space_group_name_Hall '-R 3 2"'
loop_
_atom_site_label
_atom_site_fract_x
_atom_site_fract_y
_atom_site_fract_z
Li1 0.0000 0.0000 0.0000
Pb1 0.0000 0.0000 0.5000
O1 0.0000 0.0000 0.3878
```

Calculated values
Crystal system: trigonal
Total energy: -0.1657 Ha/atom
D(E_F): 3.3 states/eV/f.u.